Sm6SiPd2 | GGA-PBE | optimized geometry

Lattice parameters (Å, degrees): 7.9196 7.9196 4.3689 90.00 90.00 120.00
Space group P-62m (No. 189)
Asymmetric unit:
Sm1 0.0000 0.2636 0.0000 x3
Sm2 0.0000 0.6041 0.5000 x3
Si1 0.0000 0.0000 0.5000 x1
Pd1 0.3333 0.6667 0.0000 x2

Output
uncorrected energy = -5.373 eV per atom